## ZnCdTc (GGA-PBE)

Data for crystalline ZnCdTc at its relaxed geometry.

POSCAR file:
```
ZnCdTc
1.0
-2.821 -3.906 2.634
0.085 -5.472 -0.451
2.584 4.777 0.811
Cd Zn Tc
1 1 1
direct
0.003 0.003 0.000 Cd
0.680 0.680 0.000 Zn
0.317 0.317 0.000 Tc
```

* magnetization: 0.00 μB/f.u.
* E_tot: -3.844 eV/atom
* E_form: 0.34 eV per atom
* excess energy over the best structure of this formula in the dataset: 306 meV per atom


## MnCdIrSe2 (GGA-PBE)

Data for crystalline MnCdIrSe2 at its relaxed geometry.

POSCAR file:
```
MnCdIrSe2
1.0
5.025 0.000 0.000
0.000 4.996 0.000
0.000 0.000 5.025
Mn Ir Se Cd
1 1 2 1
direct
0.500 0.500 0.500 Mn
0.000 0.500 0.000 Ir
0.500 0.000 0.000 Se
0.000 0.000 0.500 Se
0.000 0.000 0.000 Cd
```

* magnetization: 0.68 μB/f.u.
* E_tot: -3.232 eV/atom
* energy relative to the elements, uncorrected: 1951 meV/atom


## Li5Pb (GGA-PBE)

Data for crystalline Li5Pb at its relaxed geometry.

POSCAR file:
```
Li5Pb
1.0
3.687 0.000 0.000
0.000 4.619 0.000
0.000 -2.310 6.871
Li Pb
5 1
direct
0.500 0.500 0.000 Li
0.500 0.165 0.330 Li
0.000 0.661 0.322 Li
0.000 0.339 0.678 Li
0.500 0.835 0.670 Li
0.000 0.000 0.000 Pb
```

* magnetization: 0.00 μB/f.u.
* E_tot: -2.397 eV/atom
* E_form: -0.18 eV per atom
* excess energy over the best structure of this formula in the dataset: 46 meV per atom


## AlCuOF2 (GGA-PBE)

Data for crystalline AlCuOF2 at its relaxed geometry.

POSCAR file:
```
AlCuOF2
1.0
-2.667 -0.904 -2.706
2.557 -2.401 -1.718
-1.285 -2.989 2.265
F Cu Al O
2 1 1 1
direct
0.000 0.500 0.000 F
0.500 0.000 0.000 F
0.000 0.000 0.000 Cu
0.500 0.500 0.500 Al
0.000 0.000 0.500 O
```

* magnetization: 0.11 μB/f.u.
* E_tot: -4.282 eV/atom
* energy relative to the elements, uncorrected: -974 meV/atom
* excess energy over the best structure of this formula in the dataset: 1102 meV per atom